one) The following is a DFT calculation (PBEsol) of BHSe2 after structural relaxation.

Results
Total magnetic moment   0.00 μB per formula unit

abc: 5.770 5.770 5.770
angles: 90.00 90.00 90.00
Space group Fm-3m (No. 225)
Asymmetric unit:
B: 0.000 0.000 0.000 (multiplicity 4)
H: 0.000 0.000 0.500 (multiplicity 4)
Se: 0.250 0.250 0.250 (multiplicity 8)

---

two) The following is a DFT calculation (PBEsol) of BHSe2 after structural relaxation.

Results
Total magnetic moment   0.00 μB per formula unit

abc: 3.7156 3.7156 18.1791
angles: 90.00 90.00 120.00
Space group R-3m (No. 166, hexagonal axes)
Asymmetric unit:
B: 0.0000 0.0000 0.0000 (multiplicity 3)
H: 0.0000 0.0000 0.5000 (multiplicity 3)
Se: 0.0000 0.0000 0.1000 (multiplicity 6)

---

Stability ranking, top entry: two); the second entry is 401 meV per atom less favorable.